KTiIn: relaxed, PBE-GGA.

The calculation puts the energy above the most stable polymorph in this dataset at 0 meV/atom. The total moment comes out at 0.000 μB per atom. The calculation puts the total energy at -0.28443 Ry per atom. The calculation puts the formation energy at 0.040 eV per atom.

The space group is P-1 (No. 2) and the conventional cell measures 3.2419, 3.9011 and 13.8633 Å, with angles of 90.11, 90.15 and 90.00 degrees. Symmetry generates all atoms from K at (0.2459, 0.2475, 0.1478), Ti at (0.2494, 0.2496, 0.4489) and In at (0.2520, 0.2512, 0.6631).